DFT (PBE) results for a relaxed ReMo crystal.

The space group is Pm-3n (No. 223) and the conventional cell measures 6.979, 6.979 and 6.979 Å, with angles of 90.00, 90.00 and 90.00 degrees. Symmetry generates all atoms from Re at (0.000, 0.250, 0.500) and Mo at (0.000, 0.500, 0.250).

The formation energy from the elements is 4.41 eV per formula unit. The calculation puts the raw total energy at -9.43 eV per atom. The value obtained for the size of the total moment is 0.000 μB/atom. The relative energy among the computed polymorphs comes out at 48.754 kcal/mol of atoms.

DFT (PBE) results for a relaxed CsMg2Pd crystal.

The space group is Fm-3m (No. 225) and the conventional cell measures 7.675, 7.675 and 7.675 Å, with angles of 90.00, 90.00 and 90.00 degrees. Symmetry generates all atoms from Cs at (0.000, 0.000, 0.000), Mg at (0.250, 0.250, 0.250) and Pd at (0.000, 0.000, 0.500).

The formation energy from the elements is 1.42 eV per formula unit. The calculation puts the raw total energy at -1.95 eV per atom. The value obtained for the size of the total moment is 0.000 μB/atom. The relative energy among the computed polymorphs comes out at 8.063 kcal/mol of atoms.

DFT (PBE) results for a relaxed NbSn2W crystal.

The space group is Fm-3m (No. 225) and the conventional cell measures 6.740, 6.740 and 6.740 Å, with angles of 90.00, 90.00 and 90.00 degrees. Symmetry generates all atoms from Nb at (0.000, 0.000, 0.000), Sn at (0.250, 0.250, 0.250) and W at (0.000, 0.000, 0.500).

The formation energy from the elements is 1.69 eV per formula unit. The calculation puts the raw total energy at -7.33 eV per atom. The value obtained for the size of the total moment is 0.000 μB/atom. The relative energy among the computed polymorphs comes out at 0.000 kcal/mol of atoms.

DFT (PBE) results for a relaxed LiAs3Br crystal.

The space group is Pm-3m (No. 221) and the conventional cell measures 4.709, 4.709 and 4.709 Å, with angles of 90.00, 90.00 and 90.00 degrees. Symmetry generates all atoms from Li at (0.000, 0.000, 0.000), As at (0.000, 0.000, 0.500) and Br at (0.500, 0.500, 0.500).

The uncorrected formation energy comes out at 617 meV per atom. The calculation puts the raw total energy at -2.89 eV per atom. The value obtained for the size of the total moment is 0.000 μB/atom. The relative energy among the computed polymorphs comes out at 0.000 kcal/mol of atoms.

no.,DOS(E_F) (states/eV per atom)
1,1.516
2,0.554
3,0.616
4,1.127